Compound: SbPb3S6
Source: Alexandria via LeMat-Bulk
Functional: PBE-GGA
Structure: optimized geometry

Values from the calculation:
The energy is -4.244 eV per atom. As for the formation energy without anion corrections: -0.242 eV/atom.

Cell: 6.281 9.822 9.822 Å, 104.55 90.00 90.00°
Sites, in units of the cell vectors:
Sb (0.028, 0.198, 0.802)
Sb (0.528, 0.802, 0.198)
S (0.181, 0.099, 0.578)
S (0.156, 0.054, 0.946)
S (0.681, 0.578, 0.099)
S (0.711, 0.651, 0.666)
S (0.159, 0.786, 0.214)
S (0.211, 0.349, 0.334)
S (0.181, 0.422, 0.901)
S (0.681, 0.901, 0.422)
S (0.656, 0.946, 0.054)
S (0.711, 0.334, 0.349)
S (0.211, 0.666, 0.651)
S (0.659, 0.214, 0.786)
Pb (0.442, 0.398, 0.602)
Pb (0.958, 0.702, 0.915)
Pb (0.958, 0.085, 0.298)
Pb (0.942, 0.602, 0.398)
Pb (0.458, 0.298, 0.085)
Pb (0.458, 0.915, 0.702)